No. 1
This record from the Alexandria database describes MnTc2Rh after structural relaxation. The functional is PBE.

Cell: 4.6904 4.6904 4.6483 Å, 80.63 80.63 33.44°
Last column: nearest neighbours and their distance in Å.
Sites, in units of the cell vectors:
Mn 0.7500 0.7500 0.7500  6 Tc 2.68-2.71, 4 Rh 2.69, 2 Mn 2.70
Rh 0.2500 0.2500 0.2500  4 Mn 2.69, 2 Rh 2.70, 6 Tc 2.71
Tc 0.9992 0.9992 0.9968  6 Tc 2.66-2.72, 3 Mn 2.68-2.71, 3 Rh 2.71
Tc 0.5008 0.5008 0.5032  6 Tc 2.66-2.72, 3 Mn 2.68-2.71, 3 Rh 2.71

E_tot = -9.28 eV per atom
N(E_F) = 1.2259 states/eV/atom


No. 2
This record from the Alexandria database describes YTm2Cd after structural relaxation. The functional is PBE.

Cell: 3.7479 5.3429 6.5397 Å, 114.13 106.65 90.00°
Last column: nearest neighbours and their distance in Å.
Sites, in units of the cell vectors:
Y 0.0000 0.5000 0.0000  4 Cd 3.26, 4 Tm 3.65
Tm 0.7763 0.7764 0.5526  2 Cd 3.15, 4 Tm 3.32
Tm 0.2237 0.2236 0.4474  2 Cd 3.15, 4 Tm 3.32
Cd 0.5000 0.0000 0.0000  4 Tm 3.15, 4 Y 3.26

E_tot = -4.24 eV per atom
N(E_F) = 0.9918 states/eV/atom


No. 3
This record from the Alexandria database describes Sc7Cd after structural relaxation. The functional is PBE.

Cell: 6.4718 6.4718 6.4718 Å, 60.00 60.00 60.00°
Last column: nearest neighbours and their distance in Å.
Sites, in units of the cell vectors:
Cd 0.0000 0.0000 0.0000  12 Sc 3.24
Sc 0.0000 0.0000 0.5000  10 Sc 3.24, 2 Cd 3.24
Sc 0.0000 0.5000 0.0000  10 Sc 3.24, 2 Cd 3.24
Sc 0.0000 0.5000 0.5000  10 Sc 3.24, 2 Cd 3.24
Sc 0.5000 0.0000 0.0000  2 Cd 3.24, 10 Sc 3.24
Sc 0.5000 0.0000 0.5000  10 Sc 3.24, 2 Cd 3.24
Sc 0.5000 0.5000 0.0000  10 Sc 3.24, 2 Cd 3.24
Sc 0.5000 0.5000 0.5000  12 Sc 3.24

E_tot = -5.67 eV per atom
N(E_F) = 1.7235 states/eV/atom


No. 4
This record from the Alexandria database describes Na2SeO2 after structural relaxation. The functional is PBE.

Cell: 3.4172 4.8103 9.9611 Å, 90.00 99.88 90.00°
Last column: nearest neighbours and their distance in Å.
Sites, in units of the cell vectors:
Na 0.0419 0.3284 0.0837  4 O 2.39-2.57
Na 0.2175 0.4872 0.4350  4 O 2.39-2.52
Na 0.7825 0.9872 0.5650  4 O 2.39-2.52
Na 0.9581 0.8284 0.9163  4 O 2.39-2.57
Se 0.6287 0.8722 0.2573  1 O 1.84
Se 0.3713 0.3722 0.7427  1 O 1.84
O 0.5484 0.6763 0.0967  1 Se 1.84
O 0.1925 0.0014 0.3851  2 Se 2.21, 3 Na 2.39-2.46
O 0.8075 0.5014 0.6149  2 Se 2.21, 3 Na 2.39-2.46
O 0.4516 0.1763 0.9033  1 Se 1.84

E_form (uncorrected) = -433 kJ/mol of formula units
E_tot = -4.11 eV per atom


No. 5
This record from the Alexandria database describes PrNd6Dy2Er after structural relaxation. The functional is PBE.

Cell: 9.7085 8.9743 8.9743 Å, 117.36 93.67 93.67°
Last column: nearest neighbours and their distance in Å.
Sites, in units of the cell vectors:
Pr 0.2500 0.9729 0.0271  4 Dy 3.45-3.51, 4 Nd 3.62-3.70
Pr 0.7500 0.0271 0.9729  4 Dy 3.45-3.51, 4 Nd 3.62-3.70
Nd 0.0550 0.1171 0.7577  7 Nd 3.48-3.82, 1 Dy 3.56, 2 Pr 3.70-3.87
Nd 0.4450 0.2423 0.8829  7 Nd 3.48-3.82, 1 Dy 3.56, 2 Pr 3.70-3.87
Nd 0.9450 0.8829 0.2423  7 Nd 3.48-3.82, 1 Dy 3.56, 2 Pr 3.70-3.87
Nd 0.5550 0.7577 0.1171  7 Nd 3.48-3.82, 1 Dy 3.56, 2 Pr 3.70-3.87
Nd 0.3134 0.9914 0.4370  3 Nd 3.31-3.70, 1 Er 3.48, 1 Dy 3.49, 1 Pr 3.62
Nd 0.1866 0.5630 0.0086  3 Nd 3.31-3.70, 1 Er 3.48, 1 Dy 3.49, 1 Pr 3.62
Nd 0.6866 0.0086 0.5630  3 Nd 3.31-3.70, 1 Er 3.48, 1 Dy 3.49, 1 Pr 3.62
Nd 0.8134 0.4370 0.9914  3 Nd 3.31-3.70, 1 Er 3.48, 1 Dy 3.49, 1 Pr 3.62
Nd 0.1177 0.7063 0.4879  4 Nd 3.31-3.64, 3 Dy 3.32-3.50, 2 Er 3.46-3.59
Nd 0.3823 0.5121 0.2937  4 Nd 3.31-3.64, 3 Dy 3.32-3.50, 2 Er 3.46-3.59
Nd 0.8823 0.2937 0.5121  4 Nd 3.31-3.64, 3 Dy 3.32-3.50, 2 Er 3.46-3.59
Nd 0.6177 0.4879 0.7063  4 Nd 3.31-3.64, 3 Dy 3.32-3.50, 2 Er 3.46-3.59
Dy 0.4525 0.7975 0.6990  5 Nd 3.32-3.56, 2 Pr 3.45-3.51, 1 Er 3.55
Dy 0.0475 0.3010 0.2025  5 Nd 3.32-3.56, 2 Pr 3.45-3.51, 1 Er 3.55
Dy 0.5475 0.2025 0.3010  5 Nd 3.32-3.56, 2 Pr 3.45-3.51, 1 Er 3.55
Dy 0.9525 0.6990 0.7975  5 Nd 3.32-3.56, 2 Pr 3.45-3.51, 1 Er 3.55
Er 0.2500 0.4111 0.5889  6 Nd 3.46-3.59, 2 Dy 3.55
Er 0.7500 0.5889 0.4111  6 Nd 3.46-3.59, 2 Dy 3.55

E_tot = -4.60 eV per atom
N(E_F) = 1.4294 states/eV/atom